1.
## Pr2Sm2Pd3 (PBE)

Data for a relaxed structure of Pr2Sm2Pd3.

It has space group P-1 (No. 2), with a = 4.216 Å, b = 7.100 Å, c = 7.297 Å, α = 98.92°, β = 90.08° and γ = 107.22°. Symmetry generates all atoms from Pr at (0.127, 0.252, 0.371), Sm at (0.371, 0.742, 0.108), Pd at (0.000, 0.000, 0.000) and Pd at (0.246, 0.492, 0.745).

The calculation puts the density of states at the Fermi level at 5.82 states/eV/f.u. The calculation puts the total energy at -5.50 eV per atom. The formation enthalpy at 0 K comes out at -562 meV per atom.


2.
## PrSmPd4 (PBE)

Data for a relaxed structure of PrSmPd4.

It has space group Cmcm (No. 63), with a = 4.277 Å, b = 19.891 Å, c = 5.875 Å, α = 90.00°, β = 90.00° and γ = 90.00°. Symmetry generates all atoms from Pr at (0.000, 0.223, 0.250), Sm at (0.000, 0.077, 0.750), Pd at (0.000, 0.072, 0.250), Pd at (0.000, 0.355, 0.512) and Pd at (0.000, 0.500, 0.000).

The value obtained for the distance to the lowest polymorph of the same formula is 0 meV per atom. The calculation puts the density of states at the Fermi level at 1.49 states/eV/f.u. The calculation puts the total energy at -5.85 eV per atom. The formation enthalpy at 0 K comes out at -802 meV per atom.


3.
## Pr2SmPd9 (PBE)

Data for a relaxed structure of Pr2SmPd9.

It has space group P4/mmm (No. 123), with a = 4.208 Å, b = 4.208 Å, c = 12.609 Å, α = 90.00°, β = 90.00° and γ = 90.00°. Symmetry generates all atoms from Pr at (0.000, 0.000, 0.168), Sm at (0.000, 0.000, 0.500), Pd at (0.000, 0.500, 0.000), Pd at (0.000, 0.500, 0.336), Pd at (0.500, 0.500, 0.167) and Pd at (0.500, 0.500, 0.500).

The calculation puts the density of states at the Fermi level at 8.05 states/eV/f.u. The calculation puts the total energy at -5.84 eV per atom. The formation enthalpy at 0 K comes out at -757 meV per atom.


4.
## PrSmPd3 (PBE)

Data for a relaxed structure of PrSmPd3.

It has space group Pnnm (No. 58), with a = 7.000 Å, b = 7.994 Å, c = 8.028 Å, α = 90.00°, β = 90.00° and γ = 90.00°. Symmetry generates all atoms from Pr at (0.218, 0.137, 0.000), Sm at (0.216, 0.136, 0.500), Pd at (0.000, 0.500, 0.241) and Pd at (0.116, 0.856, 0.250).

The calculation puts the density of states at the Fermi level at 3.07 states/eV/f.u. The calculation puts the total energy at -5.79 eV per atom. The formation enthalpy at 0 K comes out at -776 meV per atom.


5.
## Pr2SmPd4 (PBE)

Data for a relaxed structure of Pr2SmPd4.

It has space group I4/mmm (No. 139), with a = 5.134 Å, b = 5.134 Å, c = 15.096 Å, α = 90.00°, β = 90.00° and γ = 90.00°. Symmetry generates all atoms from Pr at (0.000, 0.000, 0.135), Sm at (0.000, 0.000, 0.500), Pd at (0.000, 0.000, 0.318) and Pd at (0.000, 0.500, 0.000).

The calculation puts the density of states at the Fermi level at 4.73 states/eV/f.u. The calculation puts the total energy at -5.18 eV per atom. The formation enthalpy at 0 K comes out at -178 meV per atom.


6.
## PrSmPd4 (PBE)

Data for a relaxed structure of PrSmPd4.

It has space group F-43m (No. 216), with a = 7.815 Å, b = 7.815 Å, c = 7.815 Å, α = 90.00°, β = 90.00° and γ = 90.00°. Symmetry generates all atoms from Pr at (0.000, 0.000, 0.000), Sm at (0.250, 0.250, 0.250) and Pd at (0.125, 0.125, 0.625).

The value obtained for the distance to the lowest polymorph of the same formula is 37 meV per atom. The calculation puts the density of states at the Fermi level at 1.40 states/eV/f.u. The calculation puts the total energy at -5.81 eV per atom. The formation enthalpy at 0 K comes out at -765 meV per atom.


7.
## PrSm2Pd (PBE)

Data for a relaxed structure of PrSm2Pd.

It has space group Cmcm (No. 63), with a = 3.885 Å, b = 12.475 Å, c = 9.743 Å, α = 90.00°, β = 90.00° and γ = 90.00°. Symmetry generates all atoms from Pr at (0.000, 0.068, 0.250), Sm at (0.000, 0.364, 0.061) and Pd at (0.000, 0.232, 0.750).

The value obtained for the distance to the lowest polymorph of the same formula is 16 meV per atom. The calculation puts the density of states at the Fermi level at 5.47 states/eV/f.u. The calculation puts the total energy at -5.25 eV per atom. The formation enthalpy at 0 K comes out at -402 meV per atom.


8.
## PrSm2Pd9 (PBE)

Data for a relaxed structure of PrSm2Pd9.

It has space group P4/mmm (No. 123), with a = 4.192 Å, b = 4.192 Å, c = 12.558 Å, α = 90.00°, β = 90.00° and γ = 90.00°. Symmetry generates all atoms from Pr at (0.000, 0.000, 0.000), Sm at (0.000, 0.000, 0.335), Pd at (0.000, 0.500, 0.170), Pd at (0.000, 0.500, 0.500), Pd at (0.500, 0.500, 0.000) and Pd at (0.500, 0.500, 0.334).

The calculation puts the density of states at the Fermi level at 8.31 states/eV/f.u. The calculation puts the total energy at -5.86 eV per atom. The formation enthalpy at 0 K comes out at -780 meV per atom.


9.
## Pr2Sm2Pd15 (PBE)

Data for a relaxed structure of Pr2Sm2Pd15.

It has space group R-3m (No. 166, hexagonal axes), with a = 9.3179 Å, b = 9.3179 Å, c = 14.2102 Å, α = 90.00°, β = 90.00° and γ = 120.00°. Symmetry generates all atoms from Pr at (0.0000, 0.0000, 0.1383), Sm at (0.0000, 0.0000, 0.3915), Pd at (0.0000, 0.3090, 0.5000), Pd at (0.0000, 0.5000, 0.0000) and Pd at (0.0074, 0.5037, 0.6541).

The calculation puts the density of states at the Fermi level at 16.34 states/eV/f.u. The calculation puts the total energy at -5.65 eV per atom. The formation enthalpy at 0 K comes out at -549 meV per atom.


10.
## PrSm2Pd3 (PBE)

Data for a relaxed structure of PrSm2Pd3.

It has space group C2/m (No. 12), with a = 10.812 Å, b = 6.262 Å, c = 4.428 Å, α = 90.00°, β = 90.10° and γ = 90.00°. Symmetry generates all atoms from Pr at (0.000, 0.000, 0.000), Sm at (0.167, 0.500, 0.000), Pd at (0.000, 0.500, 0.500) and Pd at (0.250, 0.250, 0.500).

The calculation puts the density of states at the Fermi level at 3.40 states/eV/f.u. The calculation puts the total energy at -5.46 eV per atom. The formation enthalpy at 0 K comes out at -493 meV per atom.


11.
## PrSm2Pd (PBE)

Data for a relaxed structure of PrSm2Pd.

It has space group R-3m (No. 166, hexagonal axes), with a = 3.8176 Å, b = 3.8176 Å, c = 29.5345 Å, α = 90.00°, β = 90.00° and γ = 120.00°. Symmetry generates all atoms from Pr at (0.0000, 0.0000, 0.0000), Sm at (0.0000, 0.0000, 0.2306) and Pd at (0.0000, 0.0000, 0.5000).

The value obtained for the distance to the lowest polymorph of the same formula is 143 meV per atom. The calculation puts the density of states at the Fermi level at 4.37 states/eV/f.u. The calculation puts the total energy at -5.13 eV per atom. The formation enthalpy at 0 K comes out at -275 meV per atom.


12.
## PrSmPd6 (PBE)

Data for a relaxed structure of PrSmPd6.

It has space group P4/mmm (No. 123), with a = 4.201 Å, b = 4.201 Å, c = 8.388 Å, α = 90.00°, β = 90.00° and γ = 90.00°. Symmetry generates all atoms from Pr at (0.000, 0.000, 0.000), Sm at (0.000, 0.000, 0.500), Pd at (0.000, 0.500, 0.254), Pd at (0.500, 0.500, 0.000) and Pd at (0.500, 0.500, 0.500).

The calculation puts the density of states at the Fermi level at 5.45 states/eV/f.u. The calculation puts the total energy at -5.85 eV per atom. The formation enthalpy at 0 K comes out at -769 meV per atom.


The lowest formation enthalpy at 0 K belongs to which entry?
number 2


The highest formation enthalpy at 0 K belongs to which entry?
Pr2SmPd4